Entry 1:
# Ba6Mg11F34

Ba6Mg11F34 after structural relaxation (PBE, the Alexandria database).

Properties
Formation energy from raw total energies, eV per formula unit: -186.88
Space group: P-1, No. 2
Magnetization, μB per formula unit: 0.07
Total DFT energy (no corrections), eV/atom: -5.4820

Cell: 7.622 10.051 10.185 Å, 81.75 72.54 71.92°
Fractional coordinates of all 51 atoms:
Ba: 0.137 0.407 0.269
Ba: 0.167 0.158 0.969
Ba: 0.284 0.863 0.657
Ba: 0.716 0.137 0.343
Ba: 0.833 0.842 0.031
Ba: 0.863 0.593 0.731
Mg: 0.196 0.748 0.301
Mg: 0.233 0.243 0.608
Mg: 0.312 0.495 0.814
Mg: 0.319 0.013 0.291
Mg: 0.394 0.751 0.991
Mg: 0.500 0.500 0.500
Mg: 0.606 0.249 0.009
Mg: 0.681 0.987 0.709
Mg: 0.688 0.505 0.186
Mg: 0.767 0.757 0.392
Mg: 0.804 0.252 0.699
F: 0.020 0.639 0.427
F: 0.057 0.131 0.727
F: 0.057 0.616 0.901
F: 0.082 0.141 0.255
F: 0.174 0.888 0.934
F: 0.181 0.363 0.765
F: 0.200 0.880 0.423
F: 0.234 0.649 0.135
F: 0.261 0.602 0.634
F: 0.304 0.129 0.441
F: 0.343 0.873 0.152
F: 0.358 0.363 0.972
F: 0.387 0.353 0.477
F: 0.422 0.095 0.688
F: 0.437 0.605 0.326
F: 0.443 0.637 0.831
F: 0.445 0.131 0.137
F: 0.555 0.869 0.863
F: 0.557 0.363 0.169
F: 0.563 0.395 0.674
F: 0.578 0.905 0.312
F: 0.613 0.647 0.523
F: 0.642 0.637 0.028
F: 0.657 0.127 0.848
F: 0.696 0.871 0.559
F: 0.739 0.398 0.366
F: 0.766 0.351 0.865
F: 0.800 0.120 0.577
F: 0.819 0.637 0.235
F: 0.826 0.112 0.066
F: 0.918 0.859 0.745
F: 0.943 0.384 0.099
F: 0.943 0.869 0.273
F: 0.980 0.361 0.573

---

Entry 2:
# Ac6Ir3Ru

Ac6Ir3Ru after structural relaxation (PBE, the Alexandria database).

Properties
Space group: P2_1/c, No. 14
Energy above the most stable polymorph in this dataset, meV per atom: 14
Magnetization, μB per formula unit: 0.00
Total DFT energy (no corrections), eV/atom: -6.4994

Cell: 7.401 7.893 12.918 Å, 90.00 122.40 90.00°
Fractional coordinates of all 20 atoms:
Ac: 0.082 0.064 0.248
Ac: 0.082 0.436 0.748
Ac: 0.267 0.678 0.088
Ac: 0.267 0.822 0.588
Ac: 0.393 0.177 0.063
Ac: 0.393 0.323 0.563
Ac: 0.607 0.677 0.437
Ac: 0.607 0.823 0.937
Ac: 0.733 0.178 0.412
Ac: 0.733 0.322 0.912
Ac: 0.918 0.564 0.252
Ac: 0.918 0.936 0.752
Ir: 0.000 0.000 0.000
Ir: 0.000 0.500 0.500
Ir: 0.312 0.105 0.781
Ir: 0.312 0.395 0.281
Ir: 0.688 0.605 0.719
Ir: 0.688 0.895 0.219
Ru: 0.500 0.000 0.500
Ru: 0.500 0.500 0.000

---

Entry 3:
# YAl3Au

YAl3Au after structural relaxation (PBE, the Alexandria database).

Properties
Space group: Pm-3m, No. 221
Energy above the most stable polymorph in this dataset, meV per atom: 1869
Magnetization, μB per formula unit: 0.00
Total DFT energy (no corrections), eV/atom: -2.9156

Cell: 5.494 5.494 5.494 Å, 90.00 90.00 90.00°
Fractional coordinates of all 5 atoms:
Y: 0.000 0.000 0.000
Al: 0.000 0.000 0.500
Al: 0.000 0.500 0.000
Al: 0.500 0.000 0.000
Au: 0.500 0.500 0.500